a.
CeHo2Pa: relaxed, PBE-GGA.

Computed properties:
As for the space group: P4/mmm, No. 123. The calculation puts the calculated volume at 115 Å³/cell. As for the density of states at the Fermi level: 9.40 states/eV per cell.

Lattice parameters (Å, degrees): 3.342 3.342 10.336 90.00 90.00 90.00
Fractional coordinates of all 4 atoms:
Ce  0.000  0.000  0.000
Ho  0.500  0.500  0.266
Ho  0.500  0.500  0.734
Pa  0.000  0.000  0.500


b.
CeHo2Pa: relaxed, PBE-GGA.

Computed properties:
As for the space group: R-3m, No. 166. The calculation puts the calculated volume at 114 Å³/cell. As for the density of states at the Fermi level: 8.92 states/eV per cell.

Lattice parameters (Å, degrees): 11.620 11.620 11.620 16.76 16.76 16.76
Fractional coordinates of all 4 atoms:
Ce  0.000  0.000  0.000
Ho  0.246  0.246  0.246
Ho  0.754  0.754  0.754
Pa  0.500  0.500  0.500


c.
CeHo2Pa: relaxed, PBE-GGA.

Computed properties:
As for the space group: P4/mmm, No. 123. The calculation puts the calculated volume at 113 Å³/cell. As for the density of states at the Fermi level: 9.56 states/eV per cell.

Lattice parameters (Å, degrees): 4.720 4.720 5.086 90.00 90.00 90.00
Fractional coordinates of all 4 atoms:
Ce  0.000  0.000  0.000
Ho  0.000  0.500  0.500
Ho  0.500  0.000  0.500
Pa  0.500  0.500  0.000


What should be chosen as the least stable of them? Choose c.


a.
CeHoPa: relaxed, PBE-GGA.

Computed properties:
As for the space group: P-6m2, No. 187. The calculation puts the calculated volume at 82 Å³/cell. As for the density of states at the Fermi level: 8.70 states/eV per cell.

Lattice parameters (Å, degrees): 5.347 5.347 3.332 90.00 90.00 120.00
Fractional coordinates of all 3 atoms:
Ce  0.000  0.000  0.000
Ho  0.667  0.333  0.500
Pa  0.333  0.667  0.000


b.
CeHoPa: relaxed, PBE-GGA.

Computed properties:
As for the space group: Pnma, No. 62. The calculation puts the calculated volume at 330 Å³/cell. As for the density of states at the Fermi level: 28.88 states/eV per cell.

Lattice parameters (Å, degrees): 9.315 3.255 10.890 90.00 90.00 90.00
Fractional coordinates of all 12 atoms:
Ce  0.219  0.250  0.115
Ce  0.281  0.750  0.615
Ce  0.719  0.250  0.385
Ce  0.781  0.750  0.885
Ho  0.073  0.750  0.366
Ho  0.427  0.250  0.866
Ho  0.573  0.750  0.134
Ho  0.927  0.250  0.634
Pa  0.088  0.750  0.879
Pa  0.412  0.250  0.379
Pa  0.588  0.750  0.621
Pa  0.912  0.250  0.121


c.
CeHoPa: relaxed, PBE-GGA.

Computed properties:
As for the space group: I4mm, No. 107. The calculation puts the calculated volume at 83 Å³/cell. As for the density of states at the Fermi level: 6.85 states/eV per cell.

Lattice parameters (Å, degrees): 8.039 8.039 8.039 156.49 156.49 33.49
Fractional coordinates of all 3 atoms:
Ce  0.000  0.000  0.000
Ho  0.315  0.315  0.000
Pa  0.654  0.654  0.000


What should be chosen as the least stable of them? Choose a.


a.
Ce5HoPb6: relaxed, PBE-GGA.

Computed properties:
As for the space group: C2/m, No. 12. The calculation puts the calculated volume at 395 Å³/cell. As for the density of states at the Fermi level: 17.46 states/eV per cell.

Lattice parameters (Å, degrees): 7.848 7.848 7.849 99.59 99.59 120.03
Fractional coordinates of all 12 atoms:
Ce  0.000  0.000  0.000
Ce  0.166  0.834  0.500
Ce  0.333  0.667  0.000
Ce  0.667  0.333  0.000
Ce  0.834  0.166  0.500
Ho  0.500  0.500  0.500
Pb  0.084  0.417  0.251
Pb  0.250  0.250  0.750
Pb  0.417  0.084  0.251
Pb  0.583  0.916  0.749
Pb  0.750  0.750  0.250
Pb  0.916  0.583  0.749


b.
Ce5HoPb6: relaxed, PBE-GGA.

Computed properties:
As for the space group: C2/m, No. 12. The calculation puts the calculated volume at 353 Å³/cell. As for the density of states at the Fermi level: 31.47 states/eV per cell.

Lattice parameters (Å, degrees): 9.953 9.953 5.927 107.21 107.21 39.34
Fractional coordinates of all 12 atoms:
Ce  0.000  0.000  0.000
Ce  0.168  0.168  0.668
Ce  0.335  0.335  0.335
Ce  0.665  0.665  0.665
Ce  0.832  0.832  0.332
Ho  0.500  0.500  0.000
Pb  0.086  0.583  0.834
Pb  0.253  0.747  0.500
Pb  0.417  0.914  0.166
Pb  0.583  0.086  0.834
Pb  0.747  0.253  0.500
Pb  0.914  0.417  0.166


What should be chosen as the least stable of them? Choose a.